[1]
Material: LiCdSeI
Method: DFT, PBE-GGA
State: relaxed

Lattice parameters (Å, degrees): 7.7955 7.7955 7.7955 32.95 32.95 32.95
Atoms (fractional coordinates):
Li1 0.0000 0.0000 0.0000
Cd1 0.5177 0.5177 0.5177
Se1 0.8852 0.8852 0.8852
I1 0.3821 0.3821 0.3821

Output
Total energy, eV/cell: -11.41
Density, g cm⁻³: 4.33
Space-group type: R3m, No. 160
Magnetization, μB per formula unit: 0.0
Formation energy (no corrections), kJ per mole of atoms: -85.6

[2]
Material: Li2CdSnI6
Method: DFT, PBE-GGA
State: relaxed

Lattice parameters (Å, degrees): 8.2955 8.2955 8.2955 54.85 54.85 54.85
Atoms (fractional coordinates):
Li1 0.0000 0.0000 0.0000
Li2 0.4989 0.4989 0.4989
Cd1 0.3133 0.3133 0.3133
Sn1 0.8143 0.8143 0.8143
I1 0.1119 0.7281 0.3853
I2 0.2411 0.5932 0.9041
I3 0.3853 0.1119 0.7281
I4 0.5932 0.9041 0.2411
I5 0.7281 0.3853 0.1119
I6 0.9041 0.2411 0.5932

Output
Total energy, eV/cell: -25.65
Density, g cm⁻³: 4.70
Space-group type: R3, No. 146
DOS(E_F), states/eV/atom: 0.000
Magnetization, μB per formula unit: 0.0
Formation energy (no corrections), kJ per mole of atoms: -73.4

[3]
Material: SrLiCd2I
Method: DFT, PBE-GGA
State: relaxed

Lattice parameters (Å, degrees): 6.6351 6.6351 6.0596 90.00 90.00 90.00
Atoms (fractional coordinates):
Sr1 0.0000 0.0000 0.0000
Li1 0.5000 0.5000 0.0000
Cd1 0.0000 0.5000 0.5000
Cd2 0.5000 0.0000 0.5000
I1 0.0000 0.0000 0.5000

Output
Total energy, eV/cell: -6.09
Density, g cm⁻³: 2.78
Space-group type: P4/mmm, No. 123
DOS(E_F), states/eV/atom: 0.686
Magnetization, μB per formula unit: 0.0
Formation energy (no corrections), kJ per mole of atoms: 17.1

[4]
Material: SrLi2CdI6
Method: DFT, PBE-GGA
State: relaxed

Lattice parameters (Å, degrees): 8.3611 8.3611 8.3611 54.99 54.99 54.99
Atoms (fractional coordinates):
Sr1 0.0000 0.0000 0.0000
Li1 0.3103 0.3103 0.3103
Li2 0.8098 0.8098 0.8098
Cd1 0.4984 0.4984 0.4984
I1 0.0827 0.6884 0.4385
I2 0.2187 0.5670 0.9068
I3 0.4385 0.0827 0.6884
I4 0.5670 0.9068 0.2187
I5 0.6884 0.4385 0.0827
I6 0.9068 0.2187 0.5670

Output
Total energy, eV/cell: -26.87
Density, g cm⁻³: 4.44
Space-group type: R3, No. 146
DOS(E_F), states/eV/atom: 0.000
Magnetization, μB per formula unit: 0.0
Formation energy (no corrections), kJ per mole of atoms: -107.6

[5]
Material: LiCdTeI2
Method: DFT, PBE-GGA
State: relaxed

Lattice parameters (Å, degrees): 6.0407 6.0407 5.6452 90.00 90.00 90.00
Atoms (fractional coordinates):
Li1 0.0000 0.0000 0.0000
Cd1 0.5000 0.5000 0.5000
Te1 0.5000 0.5000 0.0000
I1 0.0000 0.5000 0.5000
I2 0.5000 0.0000 0.5000

Output
Total energy, eV/cell: -10.03
Density, g cm⁻³: 4.04
Space-group type: P4/mmm, No. 123
Relative energy among the computed polymorphs, eV per formula unit: 0.00
DOS(E_F), states/eV/atom: 1.057
Magnetization, μB per formula unit: 0.7
Formation energy (no corrections), kJ per mole of atoms: -18.6

[6]
Material: LiCdTeI
Method: DFT, PBE-GGA
State: relaxed

Lattice parameters (Å, degrees): 8.0084 8.0084 8.0084 33.76 33.76 33.76
Atoms (fractional coordinates):
Li1 0.0000 0.0000 0.0000
Cd1 0.5056 0.5056 0.5056
Te1 0.8770 0.8770 0.8770
I1 0.3724 0.3724 0.3724

Output
Total energy, eV/cell: -10.69
Density, g cm⁻³: 4.39
Space-group type: R3m, No. 160
Magnetization, μB per formula unit: 0.0
Formation energy (no corrections), kJ per mole of atoms: -76.4

[7]
Material: LiTl2CdI5
Method: DFT, PBE-GGA
State: relaxed

Lattice parameters (Å, degrees): 10.3995 10.3995 15.1475 90.00 90.00 154.86
Atoms (fractional coordinates):
Li1 0.0632 0.9368 0.5000
Li2 0.9368 0.0632 0.0000
Tl1 0.3717 0.6283 0.3696
Tl2 0.4035 0.5965 0.7236
Tl3 0.5965 0.4035 0.2236
Tl4 0.6283 0.3717 0.8696
Cd1 0.2881 0.7119 0.0851
Cd2 0.7119 0.2881 0.5851
I1 0.0012 0.9988 0.8427
I2 0.1427 0.8573 0.0564
I3 0.1965 0.8035 0.4489
I4 0.2229 0.7771 0.7217
I5 0.4388 0.5612 0.1047
I6 0.5612 0.4388 0.6047
I7 0.7771 0.2229 0.2217
I8 0.8035 0.1965 0.9489
I9 0.8573 0.1427 0.5564
I10 0.9988 0.0012 0.3427

Output
Total energy, eV/cell: -43.92
Density, g cm⁻³: 5.55
Space-group type: Cmc2_1, No. 36
DOS(E_F), states/eV/atom: 0.000
Magnetization, μB per formula unit: 0.0
Formation energy (no corrections), kJ per mole of atoms: -71.3

[8]
Material: LiTlCdI2
Method: DFT, PBE-GGA
State: relaxed

Lattice parameters (Å, degrees): 5.7406 5.7406 5.4159 90.00 90.00 90.00
Atoms (fractional coordinates):
Li1 0.0000 0.0000 0.0000
Tl1 0.5000 0.5000 0.5000
Cd1 0.0000 0.0000 0.5000
I1 0.0000 0.5000 0.0000
I2 0.5000 0.0000 0.0000

Output
Total energy, eV/cell: -10.77
Density, g cm⁻³: 5.37
Space-group type: P4/mmm, No. 123
Magnetization, μB per formula unit: 0.0
Formation energy (no corrections), kJ per mole of atoms: -47.8

[9]
Material: LiTlCd2I6
Method: DFT, PBE-GGA
State: relaxed

Lattice parameters (Å, degrees): 10.7484 10.7484 8.5040 104.69 104.69 86.84
Atoms (fractional coordinates):
Li1 0.2027 0.7973 0.7500
Li2 0.7973 0.2027 0.2500
Tl1 0.1258 0.8742 0.2500
Tl2 0.8742 0.1258 0.7500
Cd1 0.2327 0.3860 0.2987
Cd2 0.3860 0.2327 0.7987
Cd3 0.6140 0.7673 0.2013
Cd4 0.7673 0.6140 0.7013
I1 0.0440 0.1863 0.1715
I2 0.1272 0.6208 0.4396
I3 0.1863 0.0440 0.6715
I4 0.3006 0.4454 0.0184
I5 0.3792 0.8728 0.0604
I6 0.4454 0.3006 0.5184
I7 0.5546 0.6994 0.4816
I8 0.6208 0.1272 0.9396
I9 0.6994 0.5546 0.9816
I10 0.8137 0.9560 0.3285
I11 0.8728 0.3792 0.5604
I12 0.9560 0.8137 0.8285

Output
Total energy, eV/cell: -44.92
Density, g cm⁻³: 4.33
Space-group type: C2/c, No. 15
DOS(E_F), states/eV/atom: 0.000
Magnetization, μB per formula unit: 0.0
Formation energy (no corrections), kJ per mole of atoms: -68.0

[10]
Material: Li3Tl3CdI8
Method: DFT, PBE-GGA
State: relaxed

Lattice parameters (Å, degrees): 8.8889 8.8889 9.6009 117.58 117.58 59.93
Atoms (fractional coordinates):
Li1 0.0000 0.0000 0.0000
Li2 0.0000 0.5000 0.0000
Li3 0.5000 0.0000 0.0000
Tl1 0.0000 0.5000 0.5000
Tl2 0.5000 0.0000 0.5000
Tl3 0.5000 0.5000 0.5000
Cd1 0.5000 0.5000 0.0000
I1 0.2344 0.7351 0.2039
I2 0.2350 0.2350 0.2042
I3 0.2655 0.2655 0.7965
I4 0.2649 0.7656 0.7961
I5 0.7351 0.2344 0.2039
I6 0.7345 0.7345 0.2035
I7 0.7650 0.7650 0.7958
I8 0.7656 0.2649 0.7961

Output
Total energy, eV/cell: -38.64
Density, g cm⁻³: 5.27
Space-group type: C2/m, No. 12
DOS(E_F), states/eV/atom: 0.000
Magnetization, μB per formula unit: 0.0
Formation energy (no corrections), kJ per mole of atoms: -80.3

[11]
Material: LiYCd2I
Method: DFT, PBE-GGA
State: relaxed

Lattice parameters (Å, degrees): 6.0715 6.0715 6.2756 90.00 90.00 90.00
Atoms (fractional coordinates):
Li1 0.0000 0.0000 0.0000
Y1 0.0000 0.0000 0.5000
Cd1 0.0000 0.5000 0.5000
Cd2 0.5000 0.0000 0.5000
I1 0.5000 0.5000 0.0000

Output
Total energy, eV/cell: -9.24
Density, g cm⁻³: 3.21
Space-group type: P4/mmm, No. 123
DOS(E_F), states/eV/atom: 0.775
Magnetization, μB per formula unit: 1.2
Formation energy (no corrections), kJ per mole of atoms: 48.6

[12]
Material: MgCdI4
Method: DFT, PBE-GGA
State: relaxed

Lattice parameters (Å, degrees): 8.7108 8.7108 7.4103 114.98 114.98 28.21
Atoms (fractional coordinates):
Mg1 0.0000 0.0000 0.0000
Cd1 0.5000 0.5000 0.5000
I1 0.1128 0.1128 0.4379
I2 0.3889 0.3889 0.0494
I3 0.6111 0.6111 0.9506
I4 0.8872 0.8872 0.5621

Output
Total energy, eV/cell: -13.54
Density, g cm⁻³: 4.47
Space-group type: C2/m, No. 12
DOS(E_F), states/eV/atom: 0.000
Magnetization, μB per formula unit: 0.0
Formation energy (no corrections), kJ per mole of atoms: -77.6